A relaxed structure of Sm6In5Bi, computed with PBE-GGA. Values from VASP.

Summary:
Magnetization: 0.00 μB/f.u.
SG: Immm, No. 71
E_tot: -52.005 eV/cell
Formation enthalpy at 0 K: -0.510 eV per atom

Cell and atoms, written as Quantum ESPRESSO input:
```
&SYSTEM
  ibrav = 0, nat = 12, ntyp = 3
/
ATOMIC_SPECIES
Sm 150.36 Sm.upf
In 114.82 In.upf
Bi 208.98 Bi.upf
ATOMIC_POSITIONS angstrom
Sm 2.537 2.212 -2.522
Sm 0.000 2.189 0.000
Sm 2.537 2.212 2.522
Sm 0.000 2.210 5.053
Sm 0.000 6.655 0.000
Sm 0.000 2.210 10.097
In 2.537 0.000 0.000
In 0.000 0.000 2.526
In 2.537 0.000 4.934
In 0.000 4.422 2.641
In 0.000 0.000 12.625
Bi 0.000 0.000 7.575
CELL_PARAMETERS angstrom
-2.537 4.422 7.575
2.537 -4.422 7.575
2.537 4.422 -7.575
```